# Zn3InAs

A geometry-optimized Zn3InAs structure (PBE, Alexandria via LeMat-Bulk).

POSCAR file:
```
Zn3InAs
1.0
4.964 0.000 0.000
0.000 4.964 0.000
0.000 0.000 4.964
Zn In As
3 1 1
Direct
0.000 0.000 0.500 Zn
0.000 0.500 0.000 Zn
0.500 0.000 0.000 Zn
0.500 0.500 0.500 In
0.000 0.000 0.000 As
```

Computed properties:
- Formation enthalpy at 0 K: 7.7 kcal/mol of atoms
- Calculated volume: 24.470 A^3/atom
- E: -0.0702 hartree per atom
- M_tot: 0.0 μB/f.u.